# CoOF

A relaxed CoOF crystal (PBE+U, the Alexandria database).

**Total energy**: -5.294 eV per atom
**Calculated density**: 5.11 g/cm3

Cell lengths 4.4638, 4.4638, 6.1253 Å; angles 90.00, 90.00, 90.00 degrees
Atoms (fractional coordinates):
Co1 0.0273 0.0273 0.0000
Co2 0.4727 0.5273 0.2500
Co3 0.5273 0.4727 0.7500
Co4 0.9727 0.9727 0.5000
O1 0.1803 0.8197 0.2500
O2 0.3197 0.3197 0.0000
O3 0.6803 0.6803 0.5000
O4 0.8197 0.1803 0.7500
F1 0.2213 0.7787 0.7500
F2 0.2787 0.2787 0.5000
F3 0.7213 0.7213 0.0000
F4 0.7787 0.2213 0.2500